Below is a relaxed structure of LaZrSc2H, with properties calculated at the PBE-GGA level.

Properties
The density of states at the Fermi level comes out at 3.85 states/eV/f.u. Its energy above the most stable polymorph in this dataset is 0 meV per atom.

Cell lengths 4.6855, 4.6855, 4.7987 Å; angles 90.00, 90.00, 90.00 degrees
Closest atoms and distances in Å follow each position.
Space group P4/mmm (No. 123)
Symmetry-distinct sites (fractional):
La 0.0000 0.0000 0.0000  2 H 2.40
Zr 0.5000 0.5000 0.0000  4 La 3.31, 8 Sc 3.35
Sc 0.0000 0.5000 0.5000  2 H 2.34
H 0.0000 0.0000 0.5000  4 Sc 2.34, 2 La 2.40